1.
# Li2CoSe2

Crystalline Li2CoSe2 at its relaxed geometry (PBE, Alexandria).

POSCAR file:
```
Li2CoSe2
1.0
6.554 0.000 0.000
0.000 6.554 0.000
0.000 0.000 3.895
Co Li Se
2 4 4
direct
0.500 0.500 0.000
0.000 0.000 0.000
0.853 0.353 0.500
0.353 0.147 0.500
0.647 0.853 0.500
0.147 0.647 0.500
0.828 0.672 0.000
0.672 0.172 0.000
0.328 0.828 0.000
0.172 0.328 0.000
```

- energy above the lowest structure with this stoichiometry (meV per atom) = 0
- E_form (uncorrected) (eV/atom) = -0.55
- density (g cm⁻³) = 4.6
- DOS at the Fermi energy (states/eV/f.u.) = 4.70
- total moment (μB/cell) = 2.68
- DFT total energy (eV for the cell shown) = -41.28

---

2.
# Be5NiAu4

Crystalline Be5NiAu4 at its relaxed geometry (PBE, Alexandria).

POSCAR file:
```
Be5NiAu4
1.0
2.916 0.000 0.000
0.000 2.916 0.000
0.000 0.000 14.451
Be Au Ni
5 4 1
direct
0.500 0.500 0.708
0.500 0.500 0.292
0.500 0.500 0.500
0.500 0.500 0.922
0.500 0.500 0.078
0.000 0.000 0.606
0.000 0.000 0.187
0.000 0.000 0.813
0.000 0.000 0.394
0.000 0.000 0.000
```

- density (g cm⁻³) = 12.1
- DOS at the Fermi energy (states/eV/f.u.) = 4.80
- total moment (μB/cell) = 0.00
- DFT total energy (eV for the cell shown) = -39.09
- E_form (eV per atom) = -0.157

---

3.
# Ta2AgPt

Crystalline Ta2AgPt at its relaxed geometry (PBE, Alexandria).

POSCAR file:
```
Ta2AgPt
1.0
-0.937 4.591 -0.366
-0.427 -0.307 -2.765
-4.966 -0.944 0.880
Ag Ta Pt
1 2 1
direct
0.000 0.625 0.462
0.000 0.127 0.955
0.500 0.123 0.294
0.500 0.625 0.788
```

- density (g cm⁻³) = 16.3
- DOS at the Fermi energy (states/eV/f.u.) = 3.30
- total moment (μB/cell) = 0.00
- DFT total energy (eV for the cell shown) = -32.98
- E_form (eV per atom) = -0.095

---

4.
# Sc2TaCu

Crystalline Sc2TaCu at its relaxed geometry (PBE, Alexandria).

POSCAR file:
```
Sc2TaCu
1.0
4.719 0.000 0.000
2.359 4.087 0.000
2.359 1.362 3.853
Sc Cu Ta
2 1 1
direct
0.250 0.250 0.250
0.000 0.000 0.000
0.500 0.500 0.500
0.750 0.750 0.750
```

- energy above the lowest structure with this stoichiometry (meV per atom) = 383
- density (g cm⁻³) = 7.5
- DOS at the Fermi energy (states/eV/f.u.) = 6.18
- total moment (μB/cell) = 1.15
- DFT total energy (eV for the cell shown) = -27.27
- E_form (eV per atom) = 0.335

---

5.
# Ag2HgSe

Crystalline Ag2HgSe at its relaxed geometry (PBE, Alexandria).

POSCAR file:
```
Ag2HgSe
1.0
-2.774 2.536 2.135
-2.284 -1.597 3.304
2.449 1.817 5.399
Ag Hg Se
2 1 1
direct
0.076 0.076 0.772
0.257 0.257 0.230
0.496 0.496 0.513
0.672 0.672 0.984
```

- energy above the lowest structure with this stoichiometry (meV per atom) = 47
- E_form (uncorrected) (eV/atom) = 0.05
- density (g cm⁻³) = 9.0
- DOS at the Fermi energy (states/eV/f.u.) = 1.45
- total moment (μB/cell) = 0.00
- DFT total energy (eV for the cell shown) = -9.31

---

6.
# BaCoBi2Pd

Crystalline BaCoBi2Pd at its relaxed geometry (PBE, Alexandria).

POSCAR file:
```
BaCoBi2Pd
1.0
-3.814 -4.720 -1.996
1.938 -3.171 3.795
-4.564 1.997 3.999
Co Bi Pd Ba
1 2 1 1
direct
0.500 0.500 0.500
0.500 0.000 0.000
0.000 0.000 0.500
0.000 0.500 0.000
0.000 0.000 0.000
```

- density (g cm⁻³) = 5.5
- DOS at the Fermi energy (states/eV/f.u.) = 6.97
- total moment (μB/cell) = 2.23
- DFT total energy (eV for the cell shown) = -14.24
- E_form (eV per atom) = 1.549

---

Question: Look up the density of the second one.
Answer: 12.1 g cm⁻³